# 1
Below is crystalline TlCu2Pd at its relaxed geometry, with properties calculated at the PBE level.

a b c (Å): 6.2996 6.2996 6.2996
angles (deg): 90.00 90.00 90.00
Space group F-43m (No. 216)
Unique sites:
Tl 0.0000 0.0000 0.0000 x4
Cu 0.0000 0.0000 0.5000 x4
Cu 0.2500 0.2500 0.7500 x4
Pd 0.2500 0.2500 0.2500 x4

Results
E: -3.6761 eV/atom
Crystal system: cubic
V: 250 Å³ per cell

# 2
Below is crystalline Y2TlCuPd at its relaxed geometry, with properties calculated at the PBE level.

a b c (Å): 3.6988 4.1564 14.6906
angles (deg): 90.00 90.00 90.00
Space group Amm2 (No. 38)
Unique sites:
Y 0.0000 0.0000 0.0000 x2
Y 0.0000 0.0000 0.2666 x2
Tl 0.5000 0.0000 0.6324 x2
Cu 0.5000 0.0000 0.4379 x2
Pd 0.5000 0.0000 0.8336 x2

Results
E: -5.4025 eV/atom
Crystal system: orthorhombic
V: 226 Å³ per cell

# 3
Below is crystalline TlZnCuPd at its relaxed geometry, with properties calculated at the PBE level.

a b c (Å): 6.4113 6.4113 6.4113
angles (deg): 90.00 90.00 90.00
Space group F-43m (No. 216)
Unique sites:
Tl 0.0000 0.0000 0.0000 x4
Zn 0.0000 0.0000 0.5000 x4
Cu 0.2500 0.2500 0.7500 x4
Pd 0.2500 0.2500 0.2500 x4

Results
E: -3.1528 eV/atom
Crystal system: cubic
Energy above the lowest structure with this stoichiometry: 0 meV per atom
V: 264 Å³ per cell

# 4
Below is crystalline Tm4Cu3Pd at its relaxed geometry, with properties calculated at the PBE level.

a b c (Å): 3.6540 4.4438 10.2400
angles (deg): 90.00 90.00 90.00
Space group Pmm2 (No. 25)
Unique sites:
Tm 0.0000 0.0000 0.0000 x1
Tm 0.0000 0.5000 0.2789 x1
Tm 0.5000 0.0000 0.4981 x1
Tm 0.5000 0.5000 0.7786 x1
Cu 0.0000 0.5000 0.5590 x1
Cu 0.5000 0.0000 0.2125 x1
Cu 0.5000 0.5000 0.0658 x1
Pd 0.0000 0.0000 0.7188 x1

Results
E: -4.7383 eV/atom
Crystal system: orthorhombic
V: 166 Å³ per cell

# 5
Below is crystalline Tm4CuPd3 at its relaxed geometry, with properties calculated at the PBE level.

a b c (Å): 3.6579 4.5130 10.3650
angles (deg): 90.00 90.00 90.00
Space group Pmm2 (No. 25)
Unique sites:
Tm 0.0000 0.0000 0.0000 x1
Tm 0.0000 0.5000 0.2767 x1
Tm 0.5000 0.0000 0.4992 x1
Tm 0.5000 0.5000 0.7761 x1
Cu 0.0000 0.0000 0.7170 x1
Pd 0.0000 0.5000 0.5593 x1
Pd 0.5000 0.0000 0.2253 x1
Pd 0.5000 0.5000 0.0496 x1

Results
E: -5.4462 eV/atom
Crystal system: orthorhombic
V: 171 Å³ per cell

# 6
Below is crystalline CuPd2W at its relaxed geometry, with properties calculated at the PBE level.

a b c (Å): 6.1650 6.1650 6.1650
angles (deg): 90.00 90.00 90.00
Space group F-43m (No. 216)
Unique sites:
Cu 0.0000 0.0000 0.0000 x4
Pd 0.0000 0.0000 0.5000 x4
Pd 0.2500 0.2500 0.2500 x4
W 0.2500 0.2500 0.7500 x4

Results
E: -6.5211 eV/atom
Crystal system: cubic
V: 234 Å³ per cell